! PBEsol TaFe4Os, optimized geometry; values from VASP
&SYSTEM
  ibrav = 0, nat = 6, ntyp = 3
/
ATOMIC_SPECIES
Ta 180.95 Ta.upf
Fe 55.84 Fe.upf
Os 190.23 Os.upf
ATOMIC_POSITIONS crystal
Ta 0.000 0.000 0.000
Fe 0.375 0.375 0.375
Fe 0.375 0.375 0.875
Fe 0.375 0.875 0.375
Fe 0.875 0.375 0.375
Os 0.750 0.750 0.750
CELL_PARAMETERS angstrom
0.000 3.299 3.299
3.299 0.000 3.299
3.299 3.299 0.000
! SG = F-43m
! E_form = -0.1318 eV per atom

***

! PBEsol FeTcOs2, optimized geometry; values from VASP
&SYSTEM
  ibrav = 0, nat = 4, ntyp = 3
/
ATOMIC_SPECIES
Fe 55.84 Fe.upf
Tc 98.00 Tc.upf
Os 190.23 Os.upf
ATOMIC_POSITIONS crystal
Fe 0.000 0.000 0.000
Tc 0.252 0.252 0.252
Os 0.500 0.500 0.500
Os 0.746 0.746 0.746
CELL_PARAMETERS angstrom
1.336 0.772 8.589
-1.336 0.772 8.589
0.000 -1.543 8.589
! SG = R3m
! E_form = 0.1610 eV per atom

***

! PBEsol FeTcOs2, optimized geometry; values from VASP
&SYSTEM
  ibrav = 0, nat = 4, ntyp = 3
/
ATOMIC_SPECIES
Fe 55.84 Fe.upf
Tc 98.00 Tc.upf
Os 190.23 Os.upf
ATOMIC_POSITIONS crystal
Fe 0.000 0.000 0.000
Tc 0.250 0.750 0.500
Os 0.500 0.500 0.000
Os 0.750 0.250 0.500
CELL_PARAMETERS angstrom
-1.869 1.869 3.739
1.869 -1.869 3.739
1.869 1.869 -3.739
! SG = I-4m2
! E_form = 0.0949 eV per atom

***

! PBEsol Fe2TcOs, optimized geometry; values from VASP
&SYSTEM
  ibrav = 0, nat = 4, ntyp = 3
/
ATOMIC_SPECIES
Fe 55.84 Fe.upf
Tc 98.00 Tc.upf
Os 190.23 Os.upf
ATOMIC_POSITIONS crystal
Fe 0.000 0.000 0.000
Fe 0.500 0.500 0.227
Tc 0.500 0.500 0.759
Os 0.000 0.000 0.472
CELL_PARAMETERS angstrom
2.604 0.000 0.000
0.000 3.621 0.000
0.000 0.000 5.161
! SG = Pmm2
! E_form = 0.1104 eV per atom

***

! PBEsol Fe2TeOs, optimized geometry; values from VASP
&SYSTEM
  ibrav = 0, nat = 4, ntyp = 3
/
ATOMIC_SPECIES
Fe 55.84 Fe.upf
Te 127.60 Te.upf
Os 190.23 Os.upf
ATOMIC_POSITIONS crystal
Fe 0.000 0.000 0.000
Fe 0.740 0.740 0.181
Te 0.238 0.238 0.715
Os 0.483 0.483 0.445
CELL_PARAMETERS angstrom
4.235 -1.507 0.000
4.235 1.507 0.000
-0.859 0.000 4.468
! SG = Cm
! uncorrected energy = -7.92 eV per atom

***

! PBEsol Fe2TeOs, optimized geometry; values from VASP
&SYSTEM
  ibrav = 0, nat = 4, ntyp = 3
/
ATOMIC_SPECIES
Fe 55.84 Fe.upf
Te 127.60 Te.upf
Os 190.23 Os.upf
ATOMIC_POSITIONS crystal
Fe 0.000 0.000 0.000
Fe 0.000 0.500 0.284
Te 0.500 0.000 0.471
Os 0.500 0.500 0.817
CELL_PARAMETERS angstrom
3.042 0.000 0.000
0.000 4.307 0.000
0.000 0.000 4.358
! SG = Pmm2
! uncorrected energy = -7.94 eV per atom

***

! PBEsol FeTe2Os2, optimized geometry; values from VASP
&SYSTEM
  ibrav = 0, nat = 5, ntyp = 3
/
ATOMIC_SPECIES
Fe 55.84 Fe.upf
Te 127.60 Te.upf
Os 190.23 Os.upf
ATOMIC_POSITIONS crystal
Fe 0.000 0.000 0.000
Te 0.395 0.395 0.000
Te 0.605 0.605 0.000
Os 0.250 0.750 0.500
Os 0.750 0.250 0.500
CELL_PARAMETERS angstrom
-1.779 1.779 7.677
1.779 -1.779 7.677
1.779 1.779 -7.677
! SG = I4/mmm
! uncorrected energy = -7.09 eV per atom

***

! PBEsol Fe2TeOs, optimized geometry; values from VASP
&SYSTEM
  ibrav = 0, nat = 4, ntyp = 3
/
ATOMIC_SPECIES
Fe 55.84 Fe.upf
Te 127.60 Te.upf
Os 190.23 Os.upf
ATOMIC_POSITIONS crystal
Fe 0.247 0.247 0.247
Fe 0.753 0.753 0.753
Te 0.000 0.000 0.000
Os 0.500 0.500 0.500
CELL_PARAMETERS angstrom
1.444 0.834 8.041
-1.444 0.834 8.041
0.000 -1.668 8.041
! SG = R-3m
! uncorrected energy = -7.79 eV per atom

***

! PBEsol TlFeOs2, optimized geometry; values from VASP
&SYSTEM
  ibrav = 0, nat = 4, ntyp = 3
/
ATOMIC_SPECIES
Tl 204.38 Tl.upf
Fe 55.84 Fe.upf
Os 190.23 Os.upf
ATOMIC_POSITIONS crystal
Tl 0.000 0.000 0.000
Fe 0.500 0.500 0.000
Os 0.000 0.500 0.500
Os 0.500 0.000 0.500
CELL_PARAMETERS angstrom
3.944 0.000 0.000
0.000 3.944 0.000
0.000 0.000 3.878
! SG = P4/mmm
! E_form = 0.9237 eV per atom

***

! PBEsol TlFeOs2, optimized geometry; values from VASP
&SYSTEM
  ibrav = 0, nat = 4, ntyp = 3
/
ATOMIC_SPECIES
Tl 204.38 Tl.upf
Fe 55.84 Fe.upf
Os 190.23 Os.upf
ATOMIC_POSITIONS crystal
Tl 0.000 0.000 0.000
Fe 0.500 0.500 0.000
Os 0.250 0.750 0.500
Os 0.750 0.250 0.500
CELL_PARAMETERS angstrom
-1.948 1.948 3.939
1.948 -1.948 3.939
1.948 1.948 -3.939
! SG = I4/mmm
! E_form = 0.8654 eV per atom

***

! PBEsol Fe2OsW, optimized geometry; values from VASP
&SYSTEM
  ibrav = 0, nat = 4, ntyp = 3
/
ATOMIC_SPECIES
Fe 55.84 Fe.upf
Os 190.23 Os.upf
W 183.84 W.upf
ATOMIC_POSITIONS crystal
Fe 0.000 0.500 0.000
Fe 0.500 0.000 0.000
Os 0.000 0.000 0.500
W 0.500 0.500 0.500
CELL_PARAMETERS angstrom
2.629 -3.566 0.000
2.629 3.566 0.000
0.000 0.000 2.643
! SG = Cmmm
! E_form = 0.0918 eV per atom

***

! PBEsol FeOs2W, optimized geometry; values from VASP
&SYSTEM
  ibrav = 0, nat = 4, ntyp = 3
/
ATOMIC_SPECIES
Fe 55.84 Fe.upf
Os 190.23 Os.upf
W 183.84 W.upf
ATOMIC_POSITIONS crystal
Fe 0.000 0.000 0.000
Os 0.250 0.250 0.250
Os 0.750 0.750 0.750
W 0.500 0.500 0.500
CELL_PARAMETERS angstrom
0.000 3.040 3.040
3.040 0.000 3.040
3.040 3.040 0.000
! SG = Fm-3m
! E_form = 0.2256 eV per atom

***

! PBEsol Fe2OsW, optimized geometry; values from VASP
&SYSTEM
  ibrav = 0, nat = 4, ntyp = 3
/
ATOMIC_SPECIES
Fe 55.84 Fe.upf
Os 190.23 Os.upf
W 183.84 W.upf
ATOMIC_POSITIONS crystal
Fe 0.000 0.000 0.247
Fe 0.000 0.000 0.753
Os 0.500 0.500 0.000
W 0.500 0.500 0.500
CELL_PARAMETERS angstrom
2.974 0.000 0.000
0.000 2.974 0.000
0.000 0.000 5.832
! SG = P4/mmm
! E_form = 0.2364 eV per atom

***

! PBEsol FeOs2W, optimized geometry; values from VASP
&SYSTEM
  ibrav = 0, nat = 4, ntyp = 3
/
ATOMIC_SPECIES
Fe 55.84 Fe.upf
Os 190.23 Os.upf
W 183.84 W.upf
ATOMIC_POSITIONS crystal
Fe 0.000 0.000 0.000
Os 0.000 0.500 0.500
Os 0.500 0.000 0.500
W 0.500 0.500 0.000
CELL_PARAMETERS angstrom
3.790 0.000 0.000
0.000 3.790 0.000
0.000 0.000 3.767
! SG = P4/mmm
! E_form = 0.0350 eV per atom

***

! PBEsol FeOs2W, optimized geometry; values from VASP
&SYSTEM
  ibrav = 0, nat = 4, ntyp = 3
/
ATOMIC_SPECIES
Fe 55.84 Fe.upf
Os 190.23 Os.upf
W 183.84 W.upf
ATOMIC_POSITIONS crystal
Fe 0.000 0.000 0.000
Os 0.250 0.250 0.250
Os 0.500 0.500 0.500
W 0.750 0.750 0.750
CELL_PARAMETERS angstrom
0.000 3.031 3.031
3.031 0.000 3.031
3.031 3.031 0.000
! SG = F-43m
! E_form = 0.4150 eV per atom

***

! PBEsol Fe2OsW, optimized geometry; values from VASP
&SYSTEM
  ibrav = 0, nat = 4, ntyp = 3
/
ATOMIC_SPECIES
Fe 55.84 Fe.upf
Os 190.23 Os.upf
W 183.84 W.upf
ATOMIC_POSITIONS crystal
Fe 0.000 0.500 0.000
Fe 0.500 0.000 0.000
Os 0.000 0.000 0.500
W 0.500 0.500 0.500
CELL_PARAMETERS angstrom
3.709 0.000 0.000
0.000 3.709 0.000
0.000 0.000 3.604
! SG = P4/mmm
! E_form = 0.0275 eV per atom

***

! PBEsol YFe2Os, optimized geometry; values from VASP
&SYSTEM
  ibrav = 0, nat = 4, ntyp = 3
/
ATOMIC_SPECIES
Y 88.91 Y.upf
Fe 55.84 Fe.upf
Os 190.23 Os.upf
ATOMIC_POSITIONS crystal
Y 0.000 0.000 0.000
Fe 0.250 0.250 0.250
Fe 0.500 0.500 0.500
Os 0.750 0.750 0.750
CELL_PARAMETERS angstrom
0.000 3.112 3.112
3.112 0.000 3.112
3.112 3.112 0.000
! SG = F-43m
! E_form = 0.4010 eV per atom

***

! PBEsol YFe2Os, optimized geometry; values from VASP
&SYSTEM
  ibrav = 0, nat = 4, ntyp = 3
/
ATOMIC_SPECIES
Y 88.91 Y.upf
Fe 55.84 Fe.upf
Os 190.23 Os.upf
ATOMIC_POSITIONS crystal
Y 0.000 0.000 0.000
Fe 0.000 0.000 0.483
Fe 0.500 0.500 0.301
Os 0.500 0.500 0.682
CELL_PARAMETERS angstrom
3.006 0.000 0.000
0.000 3.006 0.000
0.000 0.000 6.724
! SG = P4mm
! E_form = 0.2246 eV per atom

***

! PBEsol YFe2Os, optimized geometry; values from VASP
&SYSTEM
  ibrav = 0, nat = 4, ntyp = 3
/
ATOMIC_SPECIES
Y 88.91 Y.upf
Fe 55.84 Fe.upf
Os 190.23 Os.upf
ATOMIC_POSITIONS crystal
Y 0.000 0.000 0.000
Fe 0.500 0.500 0.295
Fe 0.500 0.500 0.705
Os 0.000 0.000 0.500
CELL_PARAMETERS angstrom
2.845 0.000 0.000
0.000 2.845 0.000
0.000 0.000 7.144
! SG = P4/mmm
! E_form = 0.3001 eV per atom

***

! PBEsol YFe2Os, optimized geometry; values from VASP
&SYSTEM
  ibrav = 0, nat = 4, ntyp = 3
/
ATOMIC_SPECIES
Y 88.91 Y.upf
Fe 55.84 Fe.upf
Os 190.23 Os.upf
ATOMIC_POSITIONS crystal
Y 0.000 0.000 0.000
Fe 0.241 0.241 0.241
Fe 0.759 0.759 0.759
Os 0.500 0.500 0.500
CELL_PARAMETERS angstrom
1.389 0.802 8.949
-1.389 0.802 8.949
0.000 -1.604 8.949
! SG = R-3m
! E_form = 0.6317 eV per atom